(w)
Entry from Alexandria via LeMat-Bulk: a relaxed Pr4NdAl crystal (GGA-PBE).

Summary:
The density of states at the Fermi level is 8.310 states/eV/f.u. For the total magnetization, the calculation gives 0.00 μB/cell. The calculated volume comes out at 32.95 A^3/atom.

Cell and atoms, written as extended XYZ:
```
6
Lattice="3.676 0.000 0.000 0.000 3.676 0.000 0.000 0.000 14.632" Properties=species:S:1:pos:R:3 pbc="T T T"
Pr 0.000 0.000 1.959
Pr 0.000 0.000 12.673
Pr 1.838 1.838 4.676
Pr 1.838 1.838 9.956
Nd 0.000 0.000 7.316
Al 1.838 1.838 0.000
```

***

(x)
Entry from Alexandria via LeMat-Bulk: a relaxed Pr4NdAl crystal (GGA-PBE).

Summary:
The density of states at the Fermi level is 8.212 states/eV/f.u. For the total magnetization, the calculation gives 0.00 μB/cell. The calculated volume comes out at 33.20 A^3/atom.

Cell and atoms, written as extended XYZ:
```
12
Lattice="4.567 -7.127 0.000 4.567 7.127 0.000 -2.150 0.000 6.119" Properties=species:S:1:pos:R:3 pbc="T T T"
Pr 1.598 4.540 5.813
Pr 1.199 1.564 3.837
Pr 4.311 4.540 3.365
Pr 2.275 -1.564 0.777
Pr 4.710 1.564 5.341
Pr 2.673 -4.540 2.754
Pr 5.785 -1.564 2.282
Pr 5.386 -4.540 0.306
Nd 4.030 1.335 1.530
Nd 2.954 -1.335 4.589
Al 4.030 7.125 1.530
Al 2.954 -7.125 4.589
```

***

From most stable to least stable, the computed energies give (w), (x).

***

(w)
Entry from Alexandria via LeMat-Bulk: a relaxed PrNd4Al2 crystal (GGA-PBE).

Summary:
The density of states at the Fermi level is 10.366 states/eV/f.u. For the total magnetization, the calculation gives 0.00 μB/cell. The calculated volume comes out at 31.62 A^3/atom.

Cell and atoms, written as extended XYZ:
```
7
Lattice="-2.945 2.945 6.382 2.945 -2.945 6.382 2.945 2.945 -6.382" Properties=species:S:1:pos:R:3 pbc="T T T"
Pr 0.000 0.000 0.000
Nd 2.945 0.000 0.000
Nd 2.945 0.000 3.191
Nd 0.000 2.945 0.000
Nd 0.000 2.945 3.191
Al 0.000 0.000 4.950
Al 0.000 0.000 7.815
```

***

(x)
Entry from Alexandria via LeMat-Bulk: a relaxed PrNd4Al2 crystal (GGA-PBE).

Summary:
The density of states at the Fermi level is 5.486 states/eV/f.u. For the total magnetization, the calculation gives 0.00 μB/cell. The calculated volume comes out at 30.11 A^3/atom.

Cell and atoms, written as extended XYZ:
```
7
Lattice="2.728 1.575 8.173 -2.728 1.575 8.173 0.000 -3.150 8.173" Properties=species:S:1:pos:R:3 pbc="T T T"
Pr 0.000 0.000 0.000
Nd 0.000 0.000 3.749
Nd 0.000 0.000 10.131
Nd 0.000 0.000 14.389
Nd 0.000 0.000 20.771
Al 0.000 0.000 6.862
Al 0.000 0.000 17.658
```

***

From most stable to least stable, the computed energies give (x), (w).

***

(w)
Entry from Alexandria via LeMat-Bulk: a relaxed Pr6NdAl crystal (GGA-PBE).

Summary:
The density of states at the Fermi level is 11.613 states/eV/f.u. For the total magnetization, the calculation gives 0.00 μB/cell. The calculated volume comes out at 34.21 A^3/atom.

Cell and atoms, written as extended XYZ:
```
8
Lattice="4.790 2.766 3.443 -4.790 2.766 3.443 0.000 -5.531 3.443" Properties=species:S:1:pos:R:3 pbc="T T T"
Pr -2.507 -2.559 4.708
Pr -3.469 0.892 5.621
Pr 0.962 -3.450 5.621
Pr -0.962 3.450 4.708
Pr 3.469 -0.892 4.708
Pr 2.507 2.559 5.621
Nd 0.000 0.000 5.164
Al 0.000 0.000 0.000
```

***

(x)
Entry from Alexandria via LeMat-Bulk: a relaxed Pr6NdAl crystal (GGA-PBE).

Summary:
The density of states at the Fermi level is 9.048 states/eV/f.u. For the total magnetization, the calculation gives 0.00 μB/cell. The calculated volume comes out at 33.08 A^3/atom.

Cell and atoms, written as extended XYZ:
```
8
Lattice="5.039 0.000 0.000 0.000 5.039 0.000 0.000 0.000 10.423" Properties=species:S:1:pos:R:3 pbc="T T T"
Pr 0.000 0.000 0.000
Pr 0.000 0.000 5.212
Pr 0.000 2.519 2.459
Pr 0.000 2.519 7.964
Pr 2.519 0.000 2.459
Pr 2.519 0.000 7.964
Nd 2.519 2.519 5.212
Al 2.519 2.519 0.000
```

***

From most stable to least stable, the computed energies give (x), (w).

***

(w)
Entry from Alexandria via LeMat-Bulk: a relaxed PrNd6Al crystal (GGA-PBE).

Summary:
The density of states at the Fermi level is 9.235 states/eV/f.u. For the total magnetization, the calculation gives 0.00 μB/cell. The calculated volume comes out at 32.49 A^3/atom.

Cell and atoms, written as extended XYZ:
```
8
Lattice="5.006 0.000 0.000 0.000 5.006 0.000 0.000 0.000 10.374" Properties=species:S:1:pos:R:3 pbc="T T T"
Pr 0.000 0.000 0.000
Nd 0.000 2.503 2.746
Nd 0.000 2.503 7.628
Nd 2.503 0.000 2.746
Nd 2.503 0.000 7.628
Nd 2.503 2.503 0.000
Nd 2.503 2.503 5.187
Al 0.000 0.000 5.187
```

***

(x)
Entry from Alexandria via LeMat-Bulk: a relaxed PrNd6Al crystal (GGA-PBE).

Summary:
The density of states at the Fermi level is 11.321 states/eV/f.u. For the total magnetization, the calculation gives 0.00 μB/cell. The calculated volume comes out at 33.58 A^3/atom.

Cell and atoms, written as extended XYZ:
```
8
Lattice="4.756 2.746 3.428 -4.756 2.746 3.428 0.000 -5.492 3.428" Properties=species:S:1:pos:R:3 pbc="T T T"
Pr 0.000 0.000 0.000
Nd -2.266 0.199 2.966
Nd 0.960 -2.062 2.966
Nd -1.305 -1.862 7.317
Nd 1.305 1.862 2.966
Nd -0.960 2.062 7.317
Nd 2.265 -0.199 7.317
Al 0.000 0.000 5.141
```

***

From most stable to least stable, the computed energies give (w), (x).

***

(w)
Entry from Alexandria via LeMat-Bulk: a relaxed NdAlPt3 crystal (GGA-PBE).

Summary:
The density of states at the Fermi level is 1.927 states/eV/f.u. For the total magnetization, the calculation gives 0.00 μB/cell. The calculated volume comes out at 18.67 A^3/atom.

Cell and atoms, written as extended XYZ:
```
20
Lattice="8.440 0.000 0.000 0.000 4.140 0.000 0.000 0.000 10.688" Properties=species:S:1:pos:R:3 pbc="T T T"
Nd 1.528 1.035 0.106
Nd 2.692 3.105 5.450
Nd 5.748 1.035 5.238
Nd 6.912 3.105 10.582
Al 0.858 1.035 3.822
Al 3.362 3.105 9.166
Al 5.078 1.035 1.522
Al 7.581 3.105 6.866
Pt 0.581 1.035 6.268
Pt 0.959 3.105 8.517
Pt 1.261 3.105 2.336
Pt 2.959 1.035 7.680
Pt 3.261 1.035 3.173
Pt 3.639 3.105 0.924
Pt 4.801 1.035 9.764
Pt 5.179 3.105 7.515
Pt 5.481 3.105 3.008
Pt 7.179 1.035 8.352
Pt 7.481 1.035 2.171
Pt 7.859 3.105 4.420
```

***

(x)
Entry from Alexandria via LeMat-Bulk: a relaxed NdAlPt3 crystal (GGA-PBE).

Summary:
The density of states at the Fermi level is 2.767 states/eV/f.u. For the total magnetization, the calculation gives 0.00 μB/cell. The calculated volume comes out at 20.71 A^3/atom.

Cell and atoms, written as extended XYZ:
```
10
Lattice="5.831 0.000 0.000 0.000 7.543 0.000 0.000 0.000 4.710" Properties=species:S:1:pos:R:3 pbc="T T T"
Nd 0.000 0.000 0.000
Nd 2.915 3.771 0.000
Al 0.000 3.771 2.355
Al 2.915 0.000 2.355
Pt 0.000 3.771 0.000
Pt 1.449 1.879 2.355
Pt 1.467 5.651 2.355
Pt 2.915 0.000 0.000
Pt 4.364 1.892 2.355
Pt 4.382 5.663 2.355
```

***

From most stable to least stable, the computed energies give (w), (x).

***

(w)
Entry from Alexandria via LeMat-Bulk: a relaxed NdAlPt4 crystal (GGA-PBE).

Summary:
The density of states at the Fermi level is 2.932 states/eV/f.u. For the total magnetization, the calculation gives 0.00 μB/cell. The calculated volume comes out at 17.94 A^3/atom.

Cell and atoms, written as extended XYZ:
```
12
Lattice="2.004 -7.957 0.000 2.004 7.957 0.000 0.000 0.000 6.750" Properties=species:S:1:pos:R:3 pbc="T T T"
Nd 2.004 6.323 5.063
Nd 2.004 -6.323 1.688
Al 2.004 4.257 1.688
Al 2.004 -4.257 5.063
Pt 2.004 6.705 1.688
Pt 2.004 2.858 3.684
Pt 2.004 2.858 6.441
Pt 2.004 0.000 0.000
Pt 2.004 0.000 3.375
Pt 2.004 -2.858 0.309
Pt 2.004 -2.858 3.066
Pt 2.004 -6.705 5.063
```

***

(x)
Entry from Alexandria via LeMat-Bulk: a relaxed NdAlPt4 crystal (GGA-PBE).

Summary:
The density of states at the Fermi level is 2.566 states/eV/f.u. For the total magnetization, the calculation gives 0.00 μB/cell. The calculated volume comes out at 18.55 A^3/atom.

Cell and atoms, written as extended XYZ:
```
6
Lattice="0.000 3.818 3.818 3.818 0.000 3.818 3.818 3.818 0.000" Properties=species:S:1:pos:R:3 pbc="T T T"
Nd 0.000 0.000 0.000
Al 5.727 5.727 5.727
Pt 2.870 2.870 2.870
Pt 4.766 4.766 2.870
Pt 4.766 2.870 4.766
Pt 2.870 4.766 4.766
```

***

From most stable to least stable, the computed energies give (w), (x).

***

(w)
Entry from Alexandria via LeMat-Bulk: a relaxed NdAl2Pt4 crystal (GGA-PBE).

Summary:
The density of states at the Fermi level is 2.110 states/eV/f.u. For the total magnetization, the calculation gives 0.00 μB/cell. The calculated volume comes out at 17.47 A^3/atom.

Cell and atoms, written as extended XYZ:
```
28
Lattice="17.089 0.000 0.000 0.000 4.136 0.000 0.000 0.000 6.922" Properties=species:S:1:pos:R:3 pbc="T T T"
Nd 2.352 1.034 0.530
Nd 6.193 3.102 3.991
Nd 10.897 1.034 2.931
Nd 14.737 3.102 6.392
Al 1.189 3.102 4.991
Al 3.388 1.034 4.283
Al 5.157 3.102 0.822
Al 7.355 1.034 1.530
Al 9.734 3.102 5.392
Al 11.933 1.034 6.100
Al 13.701 3.102 2.639
Al 15.900 1.034 1.931
Pt 0.189 3.102 1.030
Pt 0.984 1.034 3.278
Pt 2.895 3.102 2.765
Pt 3.679 3.102 5.674
Pt 4.866 1.034 2.213
Pt 5.649 1.034 6.226
Pt 7.560 3.102 6.739
Pt 8.356 1.034 4.491
Pt 8.733 3.102 2.431
Pt 9.529 1.034 0.183
Pt 11.440 3.102 0.696
Pt 12.223 3.102 4.709
Pt 13.410 1.034 1.248
Pt 14.194 1.034 4.157
Pt 16.105 3.102 3.644
Pt 16.900 1.034 5.892
```

***

(x)
Entry from Alexandria via LeMat-Bulk: a relaxed NdAl2Pt4 crystal (GGA-PBE).

Summary:
The density of states at the Fermi level is 3.288 states/eV/f.u. For the total magnetization, the calculation gives 0.00 μB/cell. The calculated volume comes out at 17.66 A^3/atom.

Cell and atoms, written as extended XYZ:
```
14
Lattice="7.886 0.000 0.000 0.000 7.886 0.000 0.000 0.000 3.976" Properties=species:S:1:pos:R:3 pbc="T T T"
Nd 0.000 0.000 0.000
Nd 3.943 3.943 1.988
Al 1.781 1.781 1.988
Al 2.162 5.724 0.000
Al 5.724 2.162 0.000
Al 6.105 6.105 1.988
Pt 0.615 5.296 1.988
Pt 1.353 3.328 0.000
Pt 2.590 7.271 1.988
Pt 3.328 1.353 0.000
Pt 4.558 6.533 0.000
Pt 5.296 0.615 1.988
Pt 6.533 4.558 0.000
Pt 7.271 2.590 1.988
```

***

From most stable to least stable, the computed energies give (w), (x).

***

(w)
Entry from Alexandria via LeMat-Bulk: a relaxed NdPu2Al crystal (GGA-PBE).

Summary:
The density of states at the Fermi level is 10.637 states/eV/f.u. For the total magnetization, the calculation gives 11.87 μB/cell. The calculated volume comes out at 25.80 A^3/atom.

Cell and atoms, written as extended XYZ:
```
4
Lattice="4.522 0.000 0.000 0.000 4.522 0.000 0.000 0.000 5.047" Properties=species:S:1:pos:R:3 pbc="T T T"
Nd 0.000 0.000 0.000
Pu 0.000 2.261 2.523
Pu 2.261 0.000 2.523
Al 2.261 2.261 0.000
```

***

(x)
Entry from Alexandria via LeMat-Bulk: a relaxed NdPu2Al crystal (GGA-PBE).

Summary:
The density of states at the Fermi level is 11.721 states/eV/f.u. For the total magnetization, the calculation gives 13.32 μB/cell. The calculated volume comes out at 25.94 A^3/atom.

Cell and atoms, written as extended XYZ:
```
4
Lattice="0.000 3.730 3.730 3.730 0.000 3.730 3.730 3.730 0.000" Properties=species:S:1:pos:R:3 pbc="T T T"
Nd 0.000 0.000 0.000
Pu 1.865 1.865 1.865
Pu 5.595 5.595 5.595
Al 3.730 3.730 3.730
```

***

From most stable to least stable, the computed energies give (w), (x).